1.
# LiHfOsO6

LiHfOsO6 after structural relaxation (PBE, the Alexandria database).

a b c (Å): 4.802 4.802 9.239
angles (deg): 90.00 90.00 90.00
Space group P4_2nm (No. 102)
Symmetry-distinct sites (fractional):
Li 0.000 0.000 0.000
Hf 0.000 0.000 0.662
Os 0.000 0.000 0.327
O 0.187 0.187 0.481
O 0.199 0.199 0.181
O 0.223 0.223 0.817

Results
- Energy relative to the elements, uncorrected: -1.925 eV/atom

=====

2.
# ReMo2Os

ReMo2Os after structural relaxation (PBE, the Alexandria database).

a b c (Å): 3.137 4.423 8.853
angles (deg): 90.00 90.00 90.00
Space group Cmm2 (No. 35)
Symmetry-distinct sites (fractional):
Re 0.000 0.000 0.000
Mo 0.000 0.000 0.495
Mo 0.000 0.500 0.750
Os 0.000 0.500 0.247

Results
- E_form: 0.24 eV per atom

=====

3.
# Cd2SiGe

Cd2SiGe after structural relaxation (PBE, the Alexandria database).

a b c (Å): 6.929 6.929 6.929
angles (deg): 90.00 90.00 90.00
Space group Fm-3m (No. 225)
Symmetry-distinct sites (fractional):
Cd 0.250 0.250 0.250
Si 0.000 0.000 0.000
Ge 0.000 0.000 0.500

Results
- Energy relative to the elements, uncorrected: 0.408 eV/atom

=====

no.,spin magnetization (μB per formula unit)
1,1.0
2,0.0
3,0.0